*one*
VASP calculation (PBE) on a geometry-optimized K2MnH5 structure.

The space group is I4mm (No. 107) and the conventional cell measures 5.859, 5.859 and 7.913 Å, with angles of 90.00, 90.00 and 90.00 degrees. The distinct sites, in fractional coordinates, are K at (0.000, 0.500, 0.000), Mn at (0.000, 0.000, 0.225), H at (0.000, 0.000, 0.007) and H at (0.198, 0.198, 0.267).

---

*two*
VASP calculation (PBE) on a geometry-optimized K2MnH5 structure.

The density of states at the Fermi level comes out at 0.291 states/eV/atom.

The space group is P4/mmm (No. 123) and the conventional cell measures 5.878, 5.878 and 3.521 Å, with angles of 90.00, 90.00 and 90.00 degrees. The distinct sites, in fractional coordinates, are K at (0.000, 0.500, 0.000), Mn at (0.000, 0.000, 0.500), H at (0.000, 0.000, 0.000) and H at (0.202, 0.202, 0.500).

---

Most stable one: *two*, least stable one: *one*.

---

*one*
VASP calculation (PBE) on a geometry-optimized KMn2HPt structure.

The density of states at the Fermi level comes out at 0.512 states/eV/atom.

The space group is P4/mmm (No. 123) and the conventional cell measures 5.016, 5.016 and 3.514 Å, with angles of 90.00, 90.00 and 90.00 degrees. The distinct sites, in fractional coordinates, are K at (0.000, 0.000, 0.000), Mn at (0.000, 0.500, 0.000), H at (0.000, 0.000, 0.500) and Pt at (0.500, 0.500, 0.500).

---

*two*
VASP calculation (PBE) on a geometry-optimized KMn2HPt structure.

The density of states at the Fermi level comes out at 1.090 states/eV/atom.

The space group is P4/mmm (No. 123) and the conventional cell measures 5.975, 5.975 and 5.407 Å, with angles of 90.00, 90.00 and 90.00 degrees. The distinct sites, in fractional coordinates, are K at (0.000, 0.000, 0.000), Mn at (0.000, 0.500, 0.000), H at (0.500, 0.500, 0.500) and Pt at (0.000, 0.000, 0.500).

---

Most stable one: *one*, least stable one: *two*.

---

*one*
VASP calculation (PBE) on a geometry-optimized KMoH3 structure.

The density of states at the Fermi level comes out at 0.626 states/eV/atom.

The space group is Pm-3m (No. 221) and the conventional cell measures 4.312, 4.312 and 4.312 Å, with angles of 90.00, 90.00 and 90.00 degrees. The distinct sites, in fractional coordinates, are K at (0.000, 0.000, 0.000), Mo at (0.500, 0.500, 0.500) and H at (0.000, 0.000, 0.500).

---

*two*
VASP calculation (PBE) on a geometry-optimized KMoH3 structure.

The density of states at the Fermi level comes out at 0.461 states/eV/atom.

The space group is Pm-3m (No. 221) and the conventional cell measures 3.941, 3.941 and 3.941 Å, with angles of 90.00, 90.00 and 90.00 degrees. The distinct sites, in fractional coordinates, are K at (0.000, 0.000, 0.000), Mo at (0.500, 0.500, 0.500) and H at (0.000, 0.500, 0.500).

---

Most stable one: *two*, least stable one: *one*.

---

*one*
VASP calculation (PBE) on a geometry-optimized KMo2H2 structure.

The density of states at the Fermi level comes out at 0.569 states/eV/atom.

The space group is P4/mbm (No. 127) and the conventional cell measures 8.019, 8.019 and 2.917 Å, with angles of 90.00, 90.00 and 90.00 degrees. The distinct sites, in fractional coordinates, are K at (0.000, 0.000, 0.000), Mo at (0.095, 0.405, 0.500) and H at (0.096, 0.596, 0.000).

---

*two*
VASP calculation (PBE) on a geometry-optimized KMo2H2 structure.

The density of states at the Fermi level comes out at 0.574 states/eV/atom.

The space group is I4/mmm (No. 139) and the conventional cell measures 3.646, 3.646 and 12.742 Å, with angles of 90.00, 90.00 and 90.00 degrees. The distinct sites, in fractional coordinates, are K at (0.000, 0.000, 0.000), Mo at (0.000, 0.500, 0.250) and H at (0.000, 0.000, 0.326).

---

Most stable one: *two*, least stable one: *one*.